(1)
# Al2ReTc2, relaxed, DFT PBE
data_Al2ReTc2
_symmetry_space_group_name_H-M 'C m m m'
_symmetry_Int_Tables_number 65
_symmetry_space_group_name_Hall '-C 2 2'
_cell_length_a 2.785
_cell_length_b 19.295
_cell_length_c 2.891
_cell_angle_alpha 90.00
_cell_angle_beta 90.00
_cell_angle_gamma 90.00
loop_
_atom_site_label
_atom_site_type_symbol
_atom_site_fract_x
_atom_site_fract_y
_atom_site_fract_z
Al1 Al 0.000 0.186 0.000
Re1 Re 0.000 0.000 0.000
Tc1 Tc 0.000 0.406 0.500
# calculated volume: 155 Å³ per cell
# energy of formation from the pure elements: -0.132 eV/atom
# theoretical density: 9.33 g cm⁻³
# DOS(E_F): 3.2 states/eV/f.u.
# distance to the lowest polymorph of the same formula: 0.0 meV/atom



(2)
# Al2ReTc, relaxed, DFT PBE
data_Al2ReTc
_symmetry_space_group_name_H-M 'F m -3 m'
_symmetry_Int_Tables_number 225
_symmetry_space_group_name_Hall '-F 4 2 3'
_cell_length_a 6.109
_cell_length_b 6.109
_cell_length_c 6.109
_cell_angle_alpha 90.00
_cell_angle_beta 90.00
_cell_angle_gamma 90.00
loop_
_atom_site_label
_atom_site_type_symbol
_atom_site_fract_x
_atom_site_fract_y
_atom_site_fract_z
Al1 Al 0.250 0.250 0.250
Re1 Re 0.000 0.000 0.000
Tc1 Tc 0.000 0.000 0.500
# calculated volume: 228 Å³ per cell
# energy of formation from the pure elements: -0.134 eV/atom
# theoretical density: 9.85 g cm⁻³
# DOS(E_F): 4.2 states/eV/f.u.
# distance to the lowest polymorph of the same formula: 230.1 meV/atom



(3)
# Al2ReTc, relaxed, DFT PBE
data_Al2ReTc
_symmetry_space_group_name_H-M 'P 4/m m m'
_symmetry_Int_Tables_number 123
_symmetry_space_group_name_Hall '-P 4 2'
_cell_length_a 3.861
_cell_length_b 3.861
_cell_length_c 3.931
_cell_angle_alpha 90.00
_cell_angle_beta 90.00
_cell_angle_gamma 90.00
loop_
_atom_site_label
_atom_site_type_symbol
_atom_site_fract_x
_atom_site_fract_y
_atom_site_fract_z
Al1 Al 0.000 0.500 0.000
Re1 Re 0.000 0.000 0.500
Tc1 Tc 0.500 0.500 0.500
# calculated volume: 59 Å³ per cell
# energy of formation from the pure elements: -0.034 eV/atom
# theoretical density: 9.58 g cm⁻³
# DOS(E_F): 4.4 states/eV/f.u.
# distance to the lowest polymorph of the same formula: 330.4 meV/atom



(4)
# Al2ReTc, relaxed, DFT PBE
data_Al2ReTc
_symmetry_space_group_name_H-M 'I -4 m 2'
_symmetry_Int_Tables_number 119
_symmetry_space_group_name_Hall 'I -4 -2'
_cell_length_a 4.030
_cell_length_b 4.030
_cell_length_c 7.159
_cell_angle_alpha 90.00
_cell_angle_beta 90.00
_cell_angle_gamma 90.00
loop_
_atom_site_label
_atom_site_type_symbol
_atom_site_fract_x
_atom_site_fract_y
_atom_site_fract_z
Al1 Al 0.000 0.000 0.000
Al2 Al 0.000 0.500 0.250
Re1 Re 0.000 0.500 0.750
Tc1 Tc 0.000 0.000 0.500
# calculated volume: 116 Å³ per cell
# energy of formation from the pure elements: -0.158 eV/atom
# theoretical density: 9.66 g cm⁻³
# DOS(E_F): 2.3 states/eV/f.u.
# distance to the lowest polymorph of the same formula: 206.9 meV/atom



(5)
# AlReTc2, relaxed, DFT PBE
data_AlReTc2
_symmetry_space_group_name_H-M 'C m m m'
_symmetry_Int_Tables_number 65
_symmetry_space_group_name_Hall '-C 2 2'
_cell_length_a 2.925
_cell_length_b 4.593
_cell_length_c 8.785
_cell_angle_alpha 90.00
_cell_angle_beta 90.00
_cell_angle_gamma 90.00
loop_
_atom_site_label
_atom_site_type_symbol
_atom_site_fract_x
_atom_site_fract_y
_atom_site_fract_z
Al1 Al 0.000 0.000 0.000
Re1 Re 0.000 0.000 0.500
Tc1 Tc 0.000 0.500 0.247
# calculated volume: 118 Å³ per cell
# energy of formation from the pure elements: 0.028 eV/atom
# theoretical density: 11.51 g cm⁻³
# DOS(E_F): 3.6 states/eV/f.u.



(6)
# Ti5Al2Re2Tc, relaxed, DFT PBE
data_Ti5Al2Re2Tc
_symmetry_space_group_name_H-M 'P 4/m b m'
_symmetry_Int_Tables_number 127
_symmetry_space_group_name_Hall '-P 4 2ab'
_cell_length_a 10.239
_cell_length_b 10.239
_cell_length_c 3.259
_cell_angle_alpha 90.00
_cell_angle_beta 90.00
_cell_angle_gamma 90.00
loop_
_atom_site_label
_atom_site_type_symbol
_atom_site_fract_x
_atom_site_fract_y
_atom_site_fract_z
Ti1 Ti 0.000 0.500 0.000
Ti2 Ti 0.076 0.188 0.000
Al1 Al 0.169 0.669 0.500
Re1 Re 0.134 0.366 0.500
Tc1 Tc 0.000 0.000 0.500
# calculated volume: 342 Å³ per cell
# energy of formation from the pure elements: -0.038 eV/atom
# theoretical density: 7.42 g cm⁻³
# DOS(E_F): 9.7 states/eV/f.u.



(7)
# Ti5Al2ReTc2, relaxed, DFT PBE
data_Ti5Al2ReTc2
_symmetry_space_group_name_H-M 'P 4/m b m'
_symmetry_Int_Tables_number 127
_symmetry_space_group_name_Hall '-P 4 2ab'
_cell_length_a 10.210
_cell_length_b 10.210
_cell_length_c 3.246
_cell_angle_alpha 90.00
_cell_angle_beta 90.00
_cell_angle_gamma 90.00
loop_
_atom_site_label
_atom_site_type_symbol
_atom_site_fract_x
_atom_site_fract_y
_atom_site_fract_z
Ti1 Ti 0.000 0.500 0.000
Ti2 Ti 0.074 0.190 0.000
Al1 Al 0.171 0.671 0.500
Re1 Re 0.000 0.000 0.500
Tc1 Tc 0.131 0.369 0.500
# calculated volume: 338 Å³ per cell
# energy of formation from the pure elements: -0.092 eV/atom
# theoretical density: 6.63 g cm⁻³
# DOS(E_F): 10.0 states/eV/f.u.



(8)
# TiAlReTc, relaxed, DFT PBE
data_TiAlReTc
_symmetry_space_group_name_H-M 'F -4 3 m'
_symmetry_Int_Tables_number 216
_symmetry_space_group_name_Hall 'F -4 2 3'
_cell_length_a 6.172
_cell_length_b 6.172
_cell_length_c 6.172
_cell_angle_alpha 90.00
_cell_angle_beta 90.00
_cell_angle_gamma 90.00
loop_
_atom_site_label
_atom_site_type_symbol
_atom_site_fract_x
_atom_site_fract_y
_atom_site_fract_z
Ti1 Ti 0.000 0.000 0.000
Al1 Al 0.000 0.000 0.500
Re1 Re 0.250 0.250 0.750
Tc1 Tc 0.250 0.250 0.250
# calculated volume: 235 Å³ per cell
# energy of formation from the pure elements: -0.274 eV/atom
# theoretical density: 10.14 g cm⁻³
# DOS(E_F): 5.7 states/eV/f.u.



(9)
# AlVReTc, relaxed, DFT PBE
data_AlVReTc
_symmetry_space_group_name_H-M 'F -4 3 m'
_symmetry_Int_Tables_number 216
_symmetry_space_group_name_Hall 'F -4 2 3'
_cell_length_a 6.121
_cell_length_b 6.121
_cell_length_c 6.121
_cell_angle_alpha 90.00
_cell_angle_beta 90.00
_cell_angle_gamma 90.00
loop_
_atom_site_label
_atom_site_type_symbol
_atom_site_fract_x
_atom_site_fract_y
_atom_site_fract_z
Al1 Al 0.000 0.000 0.000
V1 V 0.250 0.250 0.250
Re1 Re 0.000 0.000 0.500
Tc1 Tc 0.250 0.250 0.750
# calculated volume: 229 Å³ per cell
# energy of formation from the pure elements: -0.171 eV/atom
# theoretical density: 10.49 g cm⁻³
# DOS(E_F): 4.1 states/eV/f.u.



(10)
# AlVRe2Tc, relaxed, DFT PBE
data_AlVRe2Tc
_symmetry_space_group_name_H-M 'P 4/m m m'
_symmetry_Int_Tables_number 123
_symmetry_space_group_name_Hall '-P 4 2'
_cell_length_a 4.432
_cell_length_b 4.432
_cell_length_c 4.343
_cell_angle_alpha 90.00
_cell_angle_beta 90.00
_cell_angle_gamma 90.00
loop_
_atom_site_label
_atom_site_type_symbol
_atom_site_fract_x
_atom_site_fract_y
_atom_site_fract_z
Al1 Al 0.000 0.000 0.000
V1 V 0.500 0.500 0.500
Re1 Re 0.000 0.500 0.000
Tc1 Tc 0.000 0.000 0.500
# calculated volume: 85 Å³ per cell
# energy of formation from the pure elements: 1.579 eV/atom
# theoretical density: 10.67 g cm⁻³
# DOS(E_F): 8.8 states/eV/f.u.



(11)
# YAlRe2Tc, relaxed, DFT PBE
data_YAlRe2Tc
_symmetry_space_group_name_H-M 'P 4/m m m'
_symmetry_Int_Tables_number 123
_symmetry_space_group_name_Hall '-P 4 2'
_cell_length_a 4.487
_cell_length_b 4.487
_cell_length_c 4.972
_cell_angle_alpha 90.00
_cell_angle_beta 90.00
_cell_angle_gamma 90.00
loop_
_atom_site_label
_atom_site_type_symbol
_atom_site_fract_x
_atom_site_fract_y
_atom_site_fract_z
Y1 Y 0.000 0.000 0.000
Al1 Al 0.000 0.000 0.500
Re1 Re 0.000 0.500 0.500
Tc1 Tc 0.500 0.500 0.000
# calculated volume: 100 Å³ per cell
# energy of formation from the pure elements: 1.606 eV/atom
# theoretical density: 9.73 g cm⁻³
# DOS(E_F): 6.2 states/eV/f.u.



(12)
# AlReTe2, relaxed, DFT PBE
data_AlReTe2
_symmetry_space_group_name_H-M 'C m m 2'
_symmetry_Int_Tables_number 35
_symmetry_space_group_name_Hall 'C 2 -2'
_cell_length_a 3.200
_cell_length_b 5.505
_cell_length_c 10.331
_cell_angle_alpha 90.00
_cell_angle_beta 90.00
_cell_angle_gamma 90.00
loop_
_atom_site_label
_atom_site_type_symbol
_atom_site_fract_x
_atom_site_fract_y
_atom_site_fract_z
Al1 Al 0.000 0.000 0.000
Re1 Re 0.000 0.500 0.808
Te1 Te 0.000 0.000 0.599
Te2 Te 0.000 0.500 0.237
# calculated volume: 182 Å³ per cell
# theoretical density: 8.55 g cm⁻³
# DOS(E_F): 1.9 states/eV/f.u.
# formation energy from raw total energies: 489 meV per atom



(13)
# Al4ReTe, relaxed, DFT PBE
data_Al4ReTe
_symmetry_space_group_name_H-M 'F -4 3 m'
_symmetry_Int_Tables_number 216
_symmetry_space_group_name_Hall 'F -4 2 3'
_cell_length_a 7.407
_cell_length_b 7.407
_cell_length_c 7.407
_cell_angle_alpha 90.00
_cell_angle_beta 90.00
_cell_angle_gamma 90.00
loop_
_atom_site_label
_atom_site_type_symbol
_atom_site_fract_x
_atom_site_fract_y
_atom_site_fract_z
Al1 Al 0.124 0.124 0.124
Re1 Re 0.250 0.250 0.750
Te1 Te 0.000 0.000 0.500
# calculated volume: 406 Å³ per cell
# theoretical density: 6.89 g cm⁻³
# DOS(E_F): 2.4 states/eV/f.u.
# formation energy from raw total energies: 407 meV per atom



(14)
# AlReTe2, relaxed, DFT PBE
data_AlReTe2
_symmetry_space_group_name_H-M 'R -3 m'
_symmetry_Int_Tables_number 166
_symmetry_space_group_name_Hall '-R 3 2"'
_cell_length_a 3.3544
_cell_length_b 3.3544
_cell_length_c 27.7764
_cell_angle_alpha 90.00
_cell_angle_beta 90.00
_cell_angle_gamma 120.00
loop_
_atom_site_label
_atom_site_type_symbol
_atom_site_fract_x
_atom_site_fract_y
_atom_site_fract_z
Al1 Al 0.0000 0.0000 0.0000
Re1 Re 0.0000 0.0000 0.5000
Te1 Te 0.0000 0.0000 0.2366
# calculated volume: 271 Å³ per cell
# theoretical density: 8.62 g cm⁻³
# DOS(E_F): 2.4 states/eV/f.u.
# formation energy from raw total energies: 450 meV per atom



(15)
# AlReTe2, relaxed, DFT PBE
data_AlReTe2
_symmetry_space_group_name_H-M 'I m m m'
_symmetry_Int_Tables_number 71
_symmetry_space_group_name_Hall '-I 2 2'
_cell_length_a 3.263
_cell_length_b 4.127
_cell_length_c 14.200
_cell_angle_alpha 90.00
_cell_angle_beta 90.00
_cell_angle_gamma 90.00
loop_
_atom_site_label
_atom_site_type_symbol
_atom_site_fract_x
_atom_site_fract_y
_atom_site_fract_z
Al1 Al 0.000 0.000 0.000
Re1 Re 0.000 0.000 0.500
Te1 Te 0.000 0.500 0.156
# calculated volume: 191 Å³ per cell
# theoretical density: 8.13 g cm⁻³
# DOS(E_F): 2.7 states/eV/f.u.
# formation energy from raw total energies: 144 meV per atom



(16)
# Al2ReTe, relaxed, DFT PBE
data_Al2ReTe
_symmetry_space_group_name_H-M 'R 3 m'
_symmetry_Int_Tables_number 160
_symmetry_space_group_name_Hall 'R 3 -2"'
_cell_length_a 3.0635
_cell_length_b 3.0635
_cell_length_c 29.4225
_cell_angle_alpha 90.00
_cell_angle_beta 90.00
_cell_angle_gamma 120.00
loop_
_atom_site_label
_atom_site_type_symbol
_atom_site_fract_x
_atom_site_fract_y
_atom_site_fract_z
Al1 Al 0.0000 0.0000 0.0000
Al2 Al 0.0000 0.0000 0.2551
Re1 Re 0.0000 0.0000 0.5196
Te1 Te 0.0000 0.0000 0.7831
# calculated volume: 239 Å³ per cell
# theoretical density: 7.66 g cm⁻³
# DOS(E_F): 3.5 states/eV/f.u.
# formation energy from raw total energies: 304 meV per atom



(17)
# Al2ReTe, relaxed, DFT PBE
data_Al2ReTe
_symmetry_space_group_name_H-M 'P 4 m m'
_symmetry_Int_Tables_number 99
_symmetry_space_group_name_Hall 'P 4 -2'
_cell_length_a 3.169
_cell_length_b 3.169
_cell_length_c 7.674
_cell_angle_alpha 90.00
_cell_angle_beta 90.00
_cell_angle_gamma 90.00
loop_
_atom_site_label
_atom_site_type_symbol
_atom_site_fract_x
_atom_site_fract_y
_atom_site_fract_z
Al1 Al 0.000 0.000 0.000
Al2 Al 0.500 0.500 0.222
Re1 Re 0.000 0.000 0.414
Te1 Te 0.500 0.500 0.625
# calculated volume: 77 Å³ per cell
# theoretical density: 7.92 g cm⁻³
# DOS(E_F): 2.6 states/eV/f.u.
# formation energy from raw total energies: 222 meV per atom



(18)
# Al2ReTe, relaxed, DFT PBE
data_Al2ReTe
_symmetry_space_group_name_H-M 'F -4 3 m'
_symmetry_Int_Tables_number 216
_symmetry_space_group_name_Hall 'F -4 2 3'
_cell_length_a 6.509
_cell_length_b 6.509
_cell_length_c 6.509
_cell_angle_alpha 90.00
_cell_angle_beta 90.00
_cell_angle_gamma 90.00
loop_
_atom_site_label
_atom_site_type_symbol
_atom_site_fract_x
_atom_site_fract_y
_atom_site_fract_z
Al1 Al 0.000 0.000 0.000
Al2 Al 0.250 0.250 0.250
Re1 Re 0.000 0.000 0.500
Te1 Te 0.250 0.250 0.750
# calculated volume: 276 Å³ per cell
# theoretical density: 8.86 g cm⁻³
# DOS(E_F): 3.3 states/eV/f.u.
# formation energy from raw total energies: 491 meV per atom



(19)
# AlReTe2, relaxed, DFT PBE
data_AlReTe2
_symmetry_space_group_name_H-M 'P 4/m m m'
_symmetry_Int_Tables_number 123
_symmetry_space_group_name_Hall '-P 4 2'
_cell_length_a 3.306
_cell_length_b 3.306
_cell_length_c 7.600
_cell_angle_alpha 90.00
_cell_angle_beta 90.00
_cell_angle_gamma 90.00
loop_
_atom_site_label
_atom_site_type_symbol
_atom_site_fract_x
_atom_site_fract_y
_atom_site_fract_z
Al1 Al 0.000 0.000 0.000
Re1 Re 0.000 0.000 0.500
Te1 Te 0.500 0.500 0.280
# calculated volume: 83 Å³ per cell
# theoretical density: 9.37 g cm⁻³
# DOS(E_F): 1.2 states/eV/f.u.
# formation energy from raw total energies: 485 meV per atom



(20)
# AlReTe2, relaxed, DFT PBE
data_AlReTe2
_symmetry_space_group_name_H-M 'P 4 m m'
_symmetry_Int_Tables_number 99
_symmetry_space_group_name_Hall 'P 4 -2'
_cell_length_a 3.355
_cell_length_b 3.355
_cell_length_c 7.838
_cell_angle_alpha 90.00
_cell_angle_beta 90.00
_cell_angle_gamma 90.00
loop_
_atom_site_label
_atom_site_type_symbol
_atom_site_fract_x
_atom_site_fract_y
_atom_site_fract_z
Al1 Al 0.000 0.000 0.000
Re1 Re 0.500 0.500 0.169
Te1 Te 0.000 0.000 0.375
Te2 Te 0.500 0.500 0.803
# calculated volume: 88 Å³ per cell
# theoretical density: 8.81 g cm⁻³
# DOS(E_F): 1.8 states/eV/f.u.
# formation energy from raw total energies: 131 meV per atom